No. 1
TmMg2Sc PBEsol optimized geometry; E_tot = -15.06 eV for the cell shown; ΔH_f (0 K) = -0.03 eV per atom; space-group type = Fm-3m (225); crystal system = cubic
1.0
0.000 3.635 3.635
3.635 0.000 3.635
3.635 3.635 0.000
Tm Mg Sc
1 2 1
Direct
0.000 0.000 0.000 Tm
0.250 0.250 0.250 Mg
0.750 0.750 0.750 Mg
0.500 0.500 0.500 Sc

---

No. 2
SiAu2Cl PBEsol optimized geometry; E_form (uncorrected) = 0.21 eV per atom; E_tot = -14.76 eV for the cell shown; space-group type = Imm2 (44); polymorph energy (0 for the lowest one) = 83 meV/atom; crystal system = orthorhombic
1.0
-1.488 2.623 4.560
1.488 -2.623 4.560
1.488 2.623 -4.560
Si Au Cl
1 2 1
Direct
0.000 0.000 0.000 Si
0.209 0.709 0.500 Au
0.476 0.476 0.000 Au
0.795 0.295 0.500 Cl

---

No. 3
ZnHgTe2 PBEsol optimized geometry; E_form (uncorrected) = -0.25 eV per atom; E_tot = -10.21 eV for the cell shown; space-group type = R3m (160); crystal system = trigonal
1.0
2.220 1.282 7.274
-2.220 1.282 7.274
0.000 -2.564 7.274
Zn Hg Te
1 1 2
Direct
0.000 0.000 0.000 Zn
0.503 0.503 0.503 Hg
0.120 0.120 0.120 Te
0.631 0.631 0.631 Te

---

No. 4
MgTaTc2Br PBEsol optimized geometry; E_form (uncorrected) = 2.16 eV per atom; E_tot = -27.89 eV for the cell shown; space-group type = P4/mmm (123); crystal system = tetragonal
1.0
4.689 0.000 0.000
0.000 4.689 0.000
0.000 0.000 4.456
Mg Ta Tc Br
1 1 2 1
Direct
0.000 0.000 0.000 Mg
0.500 0.500 0.500 Ta
0.000 0.500 0.000 Tc
0.500 0.000 0.000 Tc
0.000 0.000 0.500 Br

---

No. 5
YTi2CuBi PBEsol optimized geometry; E_tot = -31.21 eV for the cell shown; ΔH_f (0 K) = 0.18 eV per atom; space-group type = P4/mmm (123); crystal system = tetragonal
1.0
4.662 0.000 0.000
0.000 4.662 0.000
0.000 0.000 5.124
Y Ti Cu Bi
1 2 1 1
Direct
0.000 0.000 0.000 Y
0.000 0.500 0.500 Ti
0.500 0.000 0.500 Ti
0.000 0.000 0.500 Cu
0.500 0.500 0.000 Bi

---

No. 6
NaHf2MnGa PBEsol optimized geometry; E_tot = -33.71 eV for the cell shown; ΔH_f (0 K) = 0.36 eV per atom; space-group type = P4/mmm (123); crystal system = tetragonal
1.0
4.708 0.000 0.000
0.000 4.708 0.000
0.000 0.000 4.735
Na Hf Mn Ga
1 2 1 1
Direct
0.000 0.000 0.000 Na
0.000 0.500 0.500 Hf
0.500 0.000 0.500 Hf
0.500 0.500 0.500 Mn
0.500 0.500 0.000 Ga